A relaxed structure of FeTcAg3. Source: Alexandria via LeMat-Bulk, functional GGA-PBE.

Unit cell a=4.751 b=4.751 c=4.751 alpha=90.00 beta=90.00 gamma=90.00
Each line ends with the local moment (μB).
Fractional positions:
Ag 0.000 0.000 0.500  0.11
Ag 0.000 0.500 0.000  0.05
Ag 0.500 0.000 0.000  0.01
Tc 0.500 0.500 0.500  3.25
Fe 0.000 0.000 0.000  2.85

Properties
- Energy relative to the elements: 1.4978 eV per atom
- SG: Pm-3m (221)
- Energy above the lowest structure with this stoichiometry: 0 meV/atom